CeGaCuPd | PBE-GGA | relaxed

* energy relative to the elements: -0.44 eV/atom

Cell: 6.6702 6.6702 6.6702 Å, 90.00 90.00 90.00°
Space group F-43m (No. 216)
Inequivalent atoms, fractional coordinates:
Ce  0.0000  0.0000  0.0000 x4
Ga  0.0000  0.0000  0.5000 x4
Cu  0.2500  0.2500  0.7500 x4
Pd  0.2500  0.2500  0.2500 x4

AlZn2Cl | PBE-GGA | relaxed

* raw formation energy: 0.16 eV per atom
* E above lowest polymorph: 0.3094 eV per atom

Cell: 6.9058 6.9058 6.9058 Å, 90.00 90.00 90.00°
Space group F-43m (No. 216)
Inequivalent atoms, fractional coordinates:
Al  0.0000  0.0000  0.0000 x4
Zn  0.0000  0.0000  0.5000 x4
Zn  0.2500  0.2500  0.2500 x4
Cl  0.2500  0.2500  0.7500 x4

SmYAgRh | PBE-GGA | relaxed

* energy relative to the elements: -0.52 eV/atom
* E above lowest polymorph: 0.0236 eV per atom

Cell: 7.1362 7.1362 7.1362 Å, 90.00 90.00 90.00°
Space group F-43m (No. 216)
Inequivalent atoms, fractional coordinates:
Sm  0.0000  0.0000  0.0000 x4
Y  0.0000  0.0000  0.5000 x4
Ag  0.2500  0.2500  0.2500 x4
Rh  0.2500  0.2500  0.7500 x4

BeAg2Au | PBE-GGA | relaxed

* energy relative to the elements: 0.03 eV/atom

Cell: 3.0402 4.5809 9.0163 Å, 90.00 90.00 90.00°
Space group Imm2 (No. 44)
Inequivalent atoms, fractional coordinates:
Be  0.0000  0.0000  0.0000 x2
Ag  0.0000  0.0000  0.5115 x2
Ag  0.0000  0.5000  0.7144 x2
Au  0.0000  0.5000  0.3045 x2

SrMg2Mo | PBE-GGA | relaxed

* energy relative to the elements: 0.63 eV/atom
* E above lowest polymorph: 0.1427 eV per atom

Cell: 3.7544 5.2246 10.3663 Å, 90.00 90.00 90.00°
Space group Immm (No. 71)
Inequivalent atoms, fractional coordinates:
Sr  0.0000  0.0000  0.0000 x2
Mg  0.0000  0.5000  0.2189 x4
Mo  0.0000  0.0000  0.5000 x2

Ba3PrS4 | PBE-GGA | relaxed

* raw formation energy: -2.02 eV per atom

Cell: 8.9121 12.5259 4.4021 Å, 90.00 90.00 90.00°
Space group Cmmm (No. 65)
Inequivalent atoms, fractional coordinates:
Ba  0.0000  0.0000  0.0000 x2
Ba  0.2500  0.2500  0.5000 x4
Pr  0.0000  0.5000  0.0000 x2
S  0.0000  0.2636  0.0000 x4
S  0.2283  0.5000  0.5000 x4

Number 1: final energy -5.00 eV/atom. Number 2: final energy -1.87 eV/atom. Number 3: final energy -5.87 eV/atom. Number 4: final energy -3.15 eV/atom. Number 5: final energy -3.29 eV/atom. Number 6: final energy -5.41 eV/atom.